A plane-wave DFT calculation with PBE-GGA was carried out for Sr2EuSn after structural relaxation.

symmetry = P4/mmm (123)
total moment = 7.13 μB/f.u.
ΔE_f = -359 meV/atom
energy above the most stable polymorph in this dataset = 0.0 meV per atom
calculated total energy = -19.078 eV for the cell shown
volume = 147.76 Å³/cell

The structure in POSCAR format:
```
Sr2EuSn
1.0
5.301 0.000 0.000
0.000 5.280 0.000
0.000 0.000 5.280
Eu Sn Sr
1 1 2
Direct
0.500 0.000 0.000
0.500 0.500 0.500
0.000 0.000 0.500
0.000 0.500 0.000
```